The following is a DFT calculation (PBEsol) of Mn3TeRu after structural relaxation.

Lattice parameters (Å, degrees): 4.705 4.705 4.705 90.00 90.00 90.00
Each line ends with the local moment (μB).
Positions (direct):
Ru 0.500 0.500 0.500  2.06
Te 0.000 0.000 0.000  -0.05
Mn 0.000 0.500 0.000  3.44
Mn 0.000 0.000 0.500  3.44
Mn 0.500 0.000 0.000  3.44

Output
Density   6.3 Mg/m³
Formation energy without anion corrections   1.756 eV/atom
Total energy   -0.503 Ry per atom